No. 1
Ce3PuBi2 | PBE | optimized geometry

Total energy ... -42.67 eV/cell
Space group ... No. 115
Formation energy from the elements ... -0.463 eV per atom
Total magnetization ... 1.659 μB per atom

abc: 4.5486 4.5486 8.9839
angles: 90.00 90.00 90.00
Each line ends with the local moment (μB).
Fractional coordinates of all 6 atoms:
Ce (0.0000, 0.0000, 0.0000)  1.05
Ce (0.5000, 0.0000, 0.3480)  0.99
Ce (0.0000, 0.5000, 0.6520)  0.99
Bi (0.0000, 0.5000, 0.2824)  -0.07
Bi (0.5000, 0.0000, 0.7176)  -0.07
Pu (0.5000, 0.5000, 0.0000)  5.62

---

No. 2
CePu3Bi12 | PBE | optimized geometry

Total energy ... -100.27 eV/cell
Space group ... No. 123
Formation energy from the elements ... -0.298 eV per atom
Total magnetization ... 0.981 μB per atom

abc: 4.9175 4.9175 20.0219
angles: 90.00 90.00 90.00
Each line ends with the local moment (μB).
Fractional coordinates of all 16 atoms:
Bi (0.5000, 0.5000, 0.5000)  -0.04
Bi (0.0000, 0.5000, 0.8739)  -0.01
Bi (0.0000, 0.5000, 0.3748)  -0.02
Bi (0.5000, 0.5000, 0.2508)  -0.05
Bi (0.0000, 0.5000, 0.6252)  -0.02
Bi (0.5000, 0.0000, 0.1261)  -0.01
Bi (0.5000, 0.0000, 0.8739)  -0.01
Bi (0.5000, 0.0000, 0.6252)  -0.02
Bi (0.5000, 0.5000, 0.0000)  0.04
Bi (0.5000, 0.5000, 0.7492)  -0.05
Bi (0.5000, 0.0000, 0.3748)  -0.02
Bi (0.0000, 0.5000, 0.1261)  -0.01
Pu (0.0000, 0.0000, 0.5000)  5.44
Pu (0.0000, 0.0000, 0.7518)  5.45
Pu (0.0000, 0.0000, 0.2482)  5.45
Ce (0.0000, 0.0000, 0.0000)  -0.85

---

No. 3
Ce3PuBi4 | PBE | optimized geometry

Total energy ... -52.96 eV/cell
Space group ... No. 221
Formation energy from the elements ... -0.663 eV per atom
Total magnetization ... 0.400 μB per atom

abc: 6.4867 6.4867 6.4867
angles: 90.00 90.00 90.00
Each line ends with the local moment (μB).
Fractional coordinates of all 8 atoms:
Bi (0.5000, 0.0000, 0.0000)  0.02
Bi (0.0000, 0.5000, 0.0000)  0.02
Bi (0.5000, 0.5000, 0.5000)  -0.05
Bi (0.0000, 0.0000, 0.5000)  0.02
Ce (0.0000, 0.5000, 0.5000)  0.74
Ce (0.5000, 0.0000, 0.5000)  0.74
Ce (0.5000, 0.5000, 0.0000)  0.74
Pu (0.0000, 0.0000, 0.0000)  -5.37

---

No. 4
Ce3PuBi | PBE | optimized geometry

Total energy ... -148.43 eV/cell
Space group ... No. 14
Formation energy from the elements ... -0.219 eV per atom
Total magnetization ... 0.000 μB per atom

abc: 7.0697 6.8138 11.7005
angles: 90.00 75.16 90.00
Fractional coordinates of all 20 atoms:
Ce (0.1751, 0.7280, 0.9731)
Ce (0.3249, 0.2280, 0.5269)
Ce (0.8249, 0.2720, 0.0269)
Ce (0.2060, 0.6532, 0.4815)
Ce (0.2940, 0.1532, 0.0185)
Ce (0.7940, 0.3468, 0.5185)
Ce (0.9699, 0.9790, 0.2598)
Ce (0.7060, 0.8468, 0.9815)
Ce (0.6751, 0.7720, 0.4731)
Ce (0.4699, 0.5210, 0.7598)
Ce (0.5301, 0.4790, 0.2402)
Ce (0.0301, 0.0210, 0.7402)
Bi (0.5301, 0.0279, 0.7392)
Bi (0.9699, 0.5279, 0.7608)
Bi (0.0301, 0.4721, 0.2392)
Bi (0.4699, 0.9721, 0.2608)
Pu (0.9363, 0.8783, 0.5652)
Pu (0.4363, 0.6217, 0.0652)
Pu (0.0637, 0.1217, 0.4348)
Pu (0.5637, 0.3783, 0.9348)

---

No. 5
CePuBi2 | PBE | optimized geometry

Total energy ... -30.11 eV/cell
Space group ... No. 123
Formation energy from the elements ... -0.520 eV per atom
Total magnetization ... 1.722 μB per atom

abc: 3.3921 5.9184 5.9184
angles: 90.00 90.00 90.00
Each line ends with the local moment (μB).
Fractional coordinates of all 4 atoms:
Pu (0.5000, 0.5000, 0.5000)  5.58
Bi (0.0000, 0.5000, 0.0000)  -0.09
Bi (0.0000, 0.0000, 0.5000)  -0.09
Ce (0.5000, 0.0000, 0.0000)  0.91

---

No. 6
Ce6PuBi10 | PBE | optimized geometry

Total energy ... -99.19 eV/cell
Space group ... No. 162
Formation energy from the elements ... -0.614 eV per atom
Total magnetization ... 0.420 μB per atom

abc: 6.4559 9.7004 9.7005
angles: 120.01 90.01 90.00
Each line ends with the local moment (μB).
Fractional coordinates of all 17 atoms:
Ce (0.2518, 0.6162, 0.6162)  0.36
Ce (0.7482, 0.3838, 0.3838)  0.36
Ce (0.2516, 0.3837, 0.0000)  0.36
Ce (0.2516, 0.0000, 0.3837)  0.36
Ce (0.7484, 0.6163, 0.0000)  0.36
Ce (0.7484, 0.0000, 0.6163)  0.36
Pu (0.5000, 0.0000, 0.0000)  5.23
Bi (0.0000, 0.3333, 0.6666)  -0.02
Bi (0.5000, 0.6667, 0.3333)  -0.03
Bi (0.2364, 0.7301, 0.9999)  -0.06
Bi (0.7636, 0.2699, 0.0001)  -0.06
Bi (0.0000, 0.6667, 0.3334)  -0.02
Bi (0.2364, 0.9999, 0.7301)  -0.06
Bi (0.5000, 0.3333, 0.6667)  -0.03
Bi (0.2361, 0.2697, 0.2697)  -0.06
Bi (0.7636, 0.0001, 0.2699)  -0.06
Bi (0.7639, 0.7303, 0.7303)  -0.06

---

No. 7
Ce2PuBi3 | PBE | optimized geometry

Total energy ... -41.68 eV/cell
Space group ... No. 71
Formation energy from the elements ... -0.640 eV per atom
Total magnetization ... 1.159 μB per atom

abc: 4.5950 6.4744 7.9147
angles: 114.14 106.87 90.00
Each line ends with the local moment (μB).
Fractional coordinates of all 6 atoms:
Ce (0.3332, 0.8332, 0.6664)  0.73
Ce (0.6668, 0.1668, 0.3336)  0.73
Bi (0.6659, 0.6659, 0.3318)  -0.09
Bi (0.0000, 0.0000, 0.0000)  -0.08
Bi (0.3341, 0.3341, 0.6682)  -0.09
Pu (0.0000, 0.5000, 0.0000)  5.34

---

No. 8
CePuBi2 | PBE | optimized geometry

Total energy ... -29.93 eV/cell
Space group ... No. 123
Formation energy from the elements ... -0.476 eV per atom
Total magnetization ... 1.745 μB per atom

abc: 3.7804 3.7804 8.3421
angles: 90.00 90.00 90.00
Each line ends with the local moment (μB).
Fractional coordinates of all 4 atoms:
Bi (0.0000, 0.0000, 0.2474)  -0.08
Bi (0.0000, 0.0000, 0.7526)  -0.08
Pu (0.5000, 0.5000, 0.0000)  5.54
Ce (0.5000, 0.5000, 0.5000)  0.87

---

No. 9
Ce12Pu2Bi5 | PBE | optimized geometry

Total energy ... -124.53 eV/cell
Space group ... No. 12
Formation energy from the elements ... -0.277 eV per atom
Total magnetization ... 0.410 μB per atom

abc: 7.9446 8.9141 8.9141
angles: 68.59 71.58 71.58
Each line ends with the local moment (μB).
Fractional coordinates of all 19 atoms:
Ce (0.0414, 0.1062, 0.1062)  -0.55
Ce (0.6612, 0.3429, 0.9109)  0.44
Ce (0.8016, 0.1053, 0.6159)  -0.51
Ce (0.1984, 0.3841, 0.8947)  -0.51
Ce (0.8016, 0.6159, 0.1053)  -0.51
Ce (0.9586, 0.8938, 0.8938)  -0.55
Ce (0.3388, 0.0891, 0.6571)  0.44
Ce (0.7425, 0.4937, 0.4937)  0.03
Ce (0.6612, 0.9109, 0.3429)  0.44
Ce (0.3388, 0.6571, 0.0891)  0.44
Ce (0.2575, 0.5063, 0.5063)  0.03
Ce (0.1984, 0.8947, 0.3841)  -0.51
Bi (0.1437, 0.3078, 0.3078)  -0.02
Bi (0.8563, 0.6922, 0.6922)  -0.02
Bi (0.6193, 0.2981, 0.2981)  0.01
Bi (0.5000, 0.0000, 0.0000)  0.01
Bi (0.3807, 0.7019, 0.7019)  0.01
Pu (0.0000, 0.2918, 0.7083)  4.86
Pu (0.0000, 0.7083, 0.2918)  4.86

---

No. 10
Ce8PuBi2 | PBE | optimized geometry

Total energy ... -71.89 eV/cell
Space group ... No. 12
Formation energy from the elements ... -0.211 eV per atom
Total magnetization ... 0.506 μB per atom

abc: 5.2519 6.5791 9.6232
angles: 110.08 105.84 90.00
Each line ends with the local moment (μB).
Fractional coordinates of all 11 atoms:
Ce (0.5696, 0.6804, 0.1391)  -0.03
Ce (0.9928, 0.2114, 0.9855)  -0.14
Ce (0.6362, 0.2447, 0.2725)  0.33
Ce (0.7796, 0.8635, 0.5592)  0.95
Ce (0.0072, 0.7886, 0.0145)  -0.14
Ce (0.3638, 0.7553, 0.7275)  0.33
Ce (0.4304, 0.3196, 0.8609)  -0.03
Ce (0.2204, 0.1365, 0.4408)  0.95
Pu (0.5000, 0.0000, 0.0000)  2.83
Bi (0.8312, 0.4029, 0.6623)  -0.02
Bi (0.1688, 0.5971, 0.3377)  -0.02

---

No. 11
CePu2Bi2 | PBE | optimized geometry

Total energy ... -87.35 eV/cell
Space group ... No. 194
Formation energy from the elements ... -0.263 eV per atom
Total magnetization ... 0.372 μB per atom

abc: 4.9163 4.9163 14.4737
angles: 90.00 90.00 120.00
Each line ends with the local moment (μB).
Fractional coordinates of all 10 atoms:
Pu (0.6667, 0.3333, 0.7500)  -5.85
Pu (0.0000, 0.0000, 0.0000)  5.50
Pu (0.3333, 0.6667, 0.2500)  -5.85
Pu (0.0000, 0.0000, 0.5000)  5.50
Bi (0.6667, 0.3333, 0.1163)  0.03
Bi (0.3333, 0.6667, 0.8837)  0.03
Bi (0.3333, 0.6667, 0.6163)  0.03
Bi (0.6667, 0.3333, 0.3837)  0.03
Ce (0.0000, 0.0000, 0.7500)  -1.23
Ce (0.0000, 0.0000, 0.2500)  -1.23

---

No. 12
Ce8Pu2Bi | PBE | optimized geometry

Total energy ... -81.48 eV/cell
Space group ... No. 1
Formation energy from the elements ... -0.133 eV per atom
Total magnetization ... 0.541 μB per atom

abc: 6.0822 6.8164 9.3748
angles: 107.99 92.01 123.65
Each line ends with the local moment (μB).
Fractional coordinates of all 11 atoms:
Ce (0.9362, 0.5612, 0.5473)  -0.03
Ce (0.3973, 0.4783, 0.3350)  -0.07
Ce (0.7166, 0.9502, 0.1420)  -0.12
Ce (0.1310, 0.3529, 0.9350)  -0.25
Ce (0.3273, 0.9491, 0.3396)  -0.07
Ce (0.5666, 0.7523, 0.7576)  0.02
Ce (0.5469, 0.2461, 0.7647)  -0.11
Ce (0.9546, 0.1113, 0.5428)  0.05
Pu (0.4489, 0.3520, 0.5499)  -0.01
Pu (0.8221, 0.3756, 0.1198)  -5.14
Bi (0.1525, 0.8709, 0.9662)  0.03

---

No. 13
CePuBiSb | PBE | optimized geometry

Uncorrected formation energy ... -0.699 eV per atom
Total energy ... -31.07 eV/cell
Space group ... No. 160
Total magnetization ... 1.497 μB per atom

abc: 4.5250 4.5250 7.7832
angles: 73.10 73.10 60.00
Each line ends with the local moment (μB).
Fractional coordinates of all 4 atoms:
Pu (0.1967, 0.1967, 0.4100)  5.28
Bi (0.4449, 0.4449, 0.6654)  -0.12
Sb (0.9432, 0.9432, 0.1703)  -0.08
Ce (0.6917, 0.6917, 0.9250)  0.61

---

No. 14
CePuBiSb | PBE | optimized geometry

Uncorrected formation energy ... -0.583 eV per atom
Total energy ... -30.60 eV/cell
Space group ... No. 216
Total magnetization ... 1.563 μB per atom

abc: 5.4599 5.4599 5.4599
angles: 60.00 60.00 60.00
Each line ends with the local moment (μB).
Fractional coordinates of all 4 atoms:
Ce (0.7500, 0.7500, 0.7500)  0.56
Sb (0.0000, 0.0000, 0.0000)  -0.09
Pu (0.2500, 0.2500, 0.2500)  5.43
Bi (0.5000, 0.5000, 0.5000)  -0.14

---

No. 15
Ce2PuScBi4 | PBE | optimized geometry

Total energy ... -53.10 eV/cell
Space group ... No. 10
Formation energy from the elements ... -0.631 eV per atom
Total magnetization ... 0.865 μB per atom

abc: 4.5200 7.7457 7.8307
angles: 70.40 90.00 90.00
Each line ends with the local moment (μB).
Fractional coordinates of all 8 atoms:
Ce (0.0000, 0.0000, 0.0000)  0.83
Ce (0.5000, 0.0000, 0.5000)  0.62
Pu (0.5000, 0.5000, 0.0000)  5.32
Bi (0.0000, 0.2585, 0.2559)  -0.08
Bi (0.0000, 0.7415, 0.7441)  -0.08
Bi (0.5000, 0.2642, 0.7367)  -0.05
Bi (0.5000, 0.7358, 0.2633)  -0.05
Sc (0.0000, 0.5000, 0.5000)  0.00

---

No. 16
CePuBiSe | PBE | optimized geometry

Uncorrected formation energy ... -1.108 eV per atom
Total energy ... -32.06 eV/cell
Space group ... No. 160
Total magnetization ... 1.666 μB per atom

abc: 4.3978 4.3978 7.5207
angles: 73.00 73.00 60.00
Each line ends with the local moment (μB).
Fractional coordinates of all 4 atoms:
Ce (0.9920, 0.9920, 0.0239)  0.90
Bi (0.7512, 0.7512, 0.7465)  -0.11
Se (0.2479, 0.2479, 0.2563)  -0.07
Pu (0.5089, 0.5089, 0.4733)  5.41

---

No. 17
CeSm2PuBi4 | PBE | optimized geometry

Total energy ... -51.20 eV/cell
Space group ... No. 10
Formation energy from the elements ... -0.746 eV per atom
Total magnetization ... 0.746 μB per atom

abc: 4.5651 7.8965 7.9150
angles: 109.45 90.00 90.00
Each line ends with the local moment (μB).
Fractional coordinates of all 8 atoms:
Sm (0.0000, 0.5000, 0.5000)  0.00
Sm (0.5000, 0.0000, 0.5000)  -0.03
Bi (0.0000, 0.2514, 0.7516)  -0.08
Bi (0.0000, 0.7486, 0.2484)  -0.08
Bi (0.5000, 0.7497, 0.7506)  -0.05
Bi (0.5000, 0.2503, 0.2494)  -0.05
Ce (0.0000, 0.0000, 0.0000)  0.69
Pu (0.5000, 0.5000, 0.0000)  5.32

---

No. 18
CeSmPu2Bi4 | PBE | optimized geometry

Total energy ... -58.98 eV/cell
Space group ... No. 10
Formation energy from the elements ... -0.517 eV per atom
Total magnetization ... 0.101 μB per atom

abc: 5.8994 5.9028 9.0834
angles: 49.15 90.00 90.00
Each line ends with the local moment (μB).
Fractional coordinates of all 8 atoms:
Bi (0.5000, 0.2506, 0.7494)  -0.01
Bi (0.5000, 0.7494, 0.2506)  -0.01
Bi (0.0000, 0.7504, 0.7495)  -0.01
Bi (0.0000, 0.2496, 0.2505)  -0.01
Pu (0.5000, 0.0000, 0.5000)  5.61
Pu (0.0000, 0.0000, 0.0000)  -5.59
Ce (0.5000, 0.5000, 0.0000)  0.81
Sm (0.0000, 0.5000, 0.5000)  -0.08

---

No. 19
CePuSnBi | PBE | optimized geometry

Total energy ... -29.69 eV/cell
Space group ... No. 216
Formation energy from the elements ... -0.386 eV per atom
Total magnetization ... 1.358 μB per atom

abc: 5.4692 5.4692 5.4692
angles: 60.00 60.00 60.00
Each line ends with the local moment (μB).
Fractional coordinates of all 4 atoms:
Ce (0.5000, 0.5000, 0.5000)  0.45
Pu (0.0000, 0.0000, 0.0000)  -5.49
Sn (0.7500, 0.7500, 0.7500)  0.04
Bi (0.2500, 0.2500, 0.2500)  0.04

---

No. 20
TbCePu2Bi4 | PBE | optimized geometry

Total energy ... -58.61 eV/cell
Space group ... No. 10
Formation energy from the elements ... -0.482 eV per atom
Total magnetization ... 0.136 μB per atom

abc: 5.6860 5.0098 9.7350
angles: 120.60 90.00 90.00
Each line ends with the local moment (μB).
Fractional coordinates of all 8 atoms:
Bi (0.0000, 0.2532, 0.7534)  0.02
Bi (0.0000, 0.7468, 0.2466)  0.02
Bi (0.5000, 0.2475, 0.2470)  -0.01
Bi (0.5000, 0.7525, 0.7530)  -0.01
Pu (0.0000, 0.0000, 0.0000)  -5.51
Pu (0.5000, 0.0000, 0.5000)  5.57
Ce (0.0000, 0.5000, 0.5000)  1.01
Tb (0.5000, 0.5000, 0.0000)  -0.27